NaScSeS after structural relaxation. Source: Alexandria via LeMat-Bulk, functional GGA-PBE.

a = 3.8533 Å, b = 3.8533 Å, c = 20.3840 Å
α = 90.00°, β = 90.00°, γ = 120.00°
Last column: nearest neighbours and their distance in Å.
Space group R3m (No. 160, hexagonal axes)
Symmetry-distinct sites (fractional):
Na 0.0000 0.0000 0.0000 (multiplicity 3)  3 S 2.90, 3 Se 2.98
Sc 0.0000 0.0000 0.5075 (multiplicity 3)  3 S 2.62, 3 Se 2.72
Se 0.0000 0.0000 0.7640 (multiplicity 3)  3 Sc 2.72, 3 Na 2.98
S 0.0000 0.0000 0.2422 (multiplicity 3)  3 Sc 2.62, 3 Na 2.90

For the total energy, the calculation gives -5.475 eV per atom. The volume comes out at 262.12 Å³ per cell.

=====

NaSmSc4S8 after structural relaxation. Source: Alexandria via LeMat-Bulk, functional GGA-PBE.

a = 7.6950 Å, b = 7.6950 Å, c = 19.5811 Å
α = 90.00°, β = 90.00°, γ = 120.00°
Last column: nearest neighbours and their distance in Å.
Space group R3m (No. 160, hexagonal axes)
Symmetry-distinct sites (fractional):
Na 0.0000 0.0000 0.0000 (multiplicity 3)  4 S 2.63
Sm 0.0000 0.0000 0.3664 (multiplicity 3)  6 S 2.73-2.83
Sc 0.0000 0.0000 0.7426 (multiplicity 3)  4 S 2.48-2.56
Sc 0.0145 0.5072 0.8716 (multiplicity 9)  6 S 2.51-2.73
S 0.0000 0.0000 0.1341 (multiplicity 3)  3 Sc 2.54, 1 Na 2.63
S 0.0000 0.0000 0.6119 (multiplicity 3)  4 Sc 2.56-2.73
S 0.0078 0.5039 0.1262 (multiplicity 9)  3 Sc 2.48-2.73
S 0.1779 0.3558 0.9420 (multiplicity 9)  2 Sc 2.51, 1 Na 2.63, 1 Sm 2.73

For the total energy, the calculation gives -6.408 eV per atom. The volume comes out at 1004.11 Å³ per cell.

=====

Na3SmSc2S6 after structural relaxation. Source: Alexandria via LeMat-Bulk, functional GGA-PBE.

a = 6.7107 Å, b = 11.6317 Å, c = 7.0275 Å
α = 90.00°, β = 108.67°, γ = 90.00°
Last column: nearest neighbours and their distance in Å.
Space group C2/m (No. 12)
Symmetry-distinct sites (fractional):
Na 0.0000 0.0000 0.0000 (multiplicity 2)  6 S 2.82-2.96
Na 0.0000 0.3355 0.0000 (multiplicity 4)  6 S 2.83-2.97
Sm 0.0000 0.5000 0.5000 (multiplicity 2)  6 S 2.78
Sc 0.0000 0.1672 0.5000 (multiplicity 4)  6 S 2.62-2.64
S 0.2227 0.0000 0.7213 (multiplicity 4)  2 Sc 2.64, 1 Sm 2.78, 3 Na 2.82-2.94
S 0.2494 0.3243 0.7201 (multiplicity 8)  2 Sc 2.62-2.63, 1 Sm 2.78, 1 Na 2.83

For the total energy, the calculation gives -5.597 eV per atom. The volume comes out at 519.67 Å³ per cell.